No. 1
The following is a DFT calculation (PBE-GGA) of a geometry-optimized Ti2SbAs2 structure.

E, eV per atom: -6.312
ΔE_f (raw), meV per atom: -470

Unit cell a=7.207 b=7.207 c=7.207 alpha=149.80 beta=149.80 gamma=43.24
Atoms (fractional coordinates):
Ti: 0.108 0.108 0.000
Ti: 0.892 0.892 0.000
Sb: 0.500 0.500 0.000
As: 0.250 0.750 0.500
As: 0.750 0.250 0.500

***

No. 2
The following is a DFT calculation (PBE-GGA) of a geometry-optimized Ti3SbAs structure.

E, eV per atom: -6.506
ΔE_f (raw), meV per atom: -14

Unit cell a=4.735 b=4.735 c=4.735 alpha=90.00 beta=90.00 gamma=90.00
Atoms (fractional coordinates):
Ti: 0.000 0.000 0.500
Ti: 0.000 0.500 0.000
Ti: 0.500 0.000 0.000
Sb: 0.500 0.500 0.500
As: 0.000 0.000 0.000

***

No. 3
The following is a DFT calculation (PBE-GGA) of a geometry-optimized Ti2SbAs2 structure.

E, eV per atom: -6.177
ΔE_f (raw), meV per atom: -335

Unit cell a=7.483 b=7.483 c=3.330 alpha=90.00 beta=90.00 gamma=90.00
Atoms (fractional coordinates):
Ti: 0.150 0.350 0.000
Ti: 0.350 0.850 0.000
Ti: 0.650 0.150 0.000
Ti: 0.850 0.650 0.000
Sb: 0.000 0.000 0.500
Sb: 0.500 0.500 0.500
As: 0.138 0.638 0.500
As: 0.362 0.138 0.500
As: 0.638 0.862 0.500
As: 0.862 0.362 0.500

***

No. 4
The following is a DFT calculation (PBE-GGA) of a geometry-optimized TiSb3As structure.

E, eV per atom: -4.552
ΔE_f (raw), meV per atom: 430

Unit cell a=5.226 b=5.226 c=5.226 alpha=90.00 beta=90.00 gamma=90.00
Atoms (fractional coordinates):
Ti: 0.000 0.000 0.000
Sb: 0.000 0.000 0.500
Sb: 0.000 0.500 0.000
Sb: 0.500 0.000 0.000
As: 0.500 0.500 0.500

***

No. 5
The following is a DFT calculation (PBE-GGA) of a geometry-optimized Ti2Sb2As structure.

E, eV per atom: -6.046
ΔE_f (raw), meV per atom: -309

Unit cell a=7.443 b=5.473 c=11.074 alpha=90.00 beta=90.00 gamma=90.00
Atoms (fractional coordinates):
Ti: 0.067 0.250 0.243
Ti: 0.129 0.250 0.930
Ti: 0.371 0.750 0.430
Ti: 0.433 0.750 0.743
Ti: 0.567 0.250 0.257
Ti: 0.629 0.250 0.570
Ti: 0.871 0.750 0.070
Ti: 0.933 0.750 0.757
Sb: 0.065 0.750 0.282
Sb: 0.197 0.750 0.947
Sb: 0.303 0.250 0.447
Sb: 0.435 0.250 0.782
Sb: 0.565 0.750 0.218
Sb: 0.697 0.750 0.553
Sb: 0.803 0.250 0.053
Sb: 0.935 0.250 0.718
As: 0.153 0.750 0.597
As: 0.347 0.250 0.097
As: 0.653 0.750 0.903
As: 0.847 0.250 0.403

***

No. 6
The following is a DFT calculation (PBE-GGA) of a geometry-optimized TiSbAs structure.

E, eV per atom: -5.695
ΔE_f (raw), meV per atom: -139

Unit cell a=8.970 b=8.970 c=8.970 alpha=161.11 beta=147.19 gamma=38.13
Atoms (fractional coordinates):
Ti: 0.136 0.136 0.000
Ti: 0.864 0.864 0.000
Sb: 0.309 0.309 0.000
Sb: 0.691 0.691 0.000
As: 0.257 0.000 0.257
As: 0.743 0.000 0.743

***

No. 7
The following is a DFT calculation (PBE-GGA) of a geometry-optimized Ti3SbAs structure.

E, eV per atom: -6.886
ΔE_f (raw), meV per atom: -394

Unit cell a=7.289 b=7.289 c=6.581 alpha=95.47 beta=95.47 gamma=36.04
Atoms (fractional coordinates):
Ti: 0.024 0.024 0.225
Ti: 0.186 0.186 0.949
Ti: 0.265 0.265 0.340
Ti: 0.735 0.735 0.660
Ti: 0.814 0.814 0.051
Ti: 0.976 0.976 0.775
Sb: 0.381 0.381 0.881
Sb: 0.619 0.619 0.119
As: 0.128 0.128 0.575
As: 0.872 0.872 0.425

***

No. 8
The following is a DFT calculation (PBE-GGA) of a geometry-optimized Ti2SbAs2 structure.

E, eV per atom: -6.381
ΔE_f (raw), meV per atom: -539

Unit cell a=7.386 b=7.386 c=3.374 alpha=90.00 beta=90.00 gamma=90.00
Atoms (fractional coordinates):
Ti: 0.149 0.351 0.000
Ti: 0.351 0.851 0.000
Ti: 0.649 0.149 0.000
Ti: 0.851 0.649 0.000
Sb: 0.000 0.000 0.000
Sb: 0.500 0.500 0.000
As: 0.139 0.639 0.500
As: 0.361 0.139 0.500
As: 0.639 0.861 0.500
As: 0.861 0.361 0.500

***

No. 9
The following is a DFT calculation (PBE-GGA) of a geometry-optimized Ti12Sb5As2 structure.

E, eV per atom: -6.764
ΔE_f (raw), meV per atom: -204

Unit cell a=8.561 b=8.561 c=8.147 alpha=106.54 beta=106.54 gamma=45.37
Atoms (fractional coordinates):
Ti: 0.020 0.020 0.273
Ti: 0.102 0.626 0.469
Ti: 0.113 0.555 0.906
Ti: 0.374 0.898 0.531
Ti: 0.445 0.887 0.094
Ti: 0.453 0.453 0.789
Ti: 0.547 0.547 0.211
Ti: 0.555 0.113 0.906
Ti: 0.626 0.102 0.469
Ti: 0.887 0.445 0.094
Ti: 0.898 0.374 0.531
Ti: 0.980 0.980 0.727
Sb: 0.177 0.177 0.833
Sb: 0.221 0.221 0.355
Sb: 0.500 0.500 0.500
Sb: 0.779 0.779 0.645
Sb: 0.823 0.823 0.167
As: 0.218 0.782 0.000
As: 0.782 0.218 0.000

***

No. 10
The following is a DFT calculation (PBE-GGA) of a geometry-optimized Ti4SbAs structure.

E, eV per atom: -7.081
ΔE_f (raw), meV per atom: -356

Unit cell a=7.284 b=7.284 c=6.653 alpha=102.06 beta=102.06 gamma=40.67
Atoms (fractional coordinates):
Ti: 0.042 0.812 0.571
Ti: 0.176 0.477 0.872
Ti: 0.188 0.958 0.929
Ti: 0.477 0.176 0.372
Ti: 0.523 0.824 0.628
Ti: 0.812 0.042 0.071
Ti: 0.824 0.523 0.128
Ti: 0.958 0.188 0.429
Sb: 0.380 0.620 0.250
Sb: 0.620 0.380 0.750
As: 0.000 0.500 0.500
As: 0.500 0.000 0.000

***

No. 11
The following is a DFT calculation (PBE-GGA) of a geometry-optimized Ti3SbAs structure.

E, eV per atom: -5.696
ΔE_f (raw), meV per atom: 796

Unit cell a=5.067 b=5.067 c=5.067 alpha=90.00 beta=90.00 gamma=90.00
Atoms (fractional coordinates):
Ti: 0.000 0.000 0.500
Ti: 0.000 0.500 0.000
Ti: 0.500 0.000 0.000
Sb: 0.000 0.000 0.000
As: 0.500 0.500 0.500

***

No. 12
The following is a DFT calculation (PBE-GGA) of a geometry-optimized Tl2SbAs structure.

E, eV per atom: -3.218
ΔE_f (raw), meV per atom: 158

Unit cell a=3.233 b=5.731 c=6.033 alpha=90.00 beta=91.87 gamma=90.00
Atoms (fractional coordinates):
Tl: 0.196 0.000 0.256
Tl: 0.804 0.000 0.744
Sb: 0.500 0.500 0.000
As: 0.500 0.500 0.500

***

E of number 12 (Tl2SbAs)?
-3.218 eV per atom